VASP calculation (PBE) on NdSm2Er5 after structural relaxation.

Properties
energy of formation	19	meV per atom
uncorrected energy	-4.608	eV per atom
polymorph energy (0 for the lowest one)	0	meV/atom

```
16
Lattice="5.023 0.000 0.000 0.000 7.118 0.000 0.000 0.000 14.246" Properties=species:S:1:pos:R:3 pbc="T T T"
Er 0.000 0.000 0.000
Er 0.000 3.559 7.123
Er 0.000 3.543 3.577
Er 0.000 3.575 10.669
Er 2.512 1.770 5.331
Er 2.512 5.329 1.791
Er 0.000 7.102 3.546
Er 2.512 5.348 8.914
Er 0.000 0.016 10.700
Er 2.512 1.789 12.454
Sm 2.512 5.357 12.452
Sm 2.512 1.762 1.794
Sm 2.512 5.321 5.329
Sm 2.512 1.798 8.917
Nd 0.000 0.000 7.123
Nd 0.000 3.559 0.000
```